P.
Material: TaW2Br
Method: DFT, PBE
State: optimized geometry

Lattice parameters (Å, degrees): 2.9352 2.9352 28.1786 90.00 90.00 120.00
Space group R-3m (No. 166, hexagonal axes)
Inequivalent atoms, fractional coordinates:
Ta 0.0000 0.0000 0.0000 (multiplicity 3)
W 0.0000 0.0000 0.2473 (multiplicity 6)
Br 0.0000 0.0000 0.5000 (multiplicity 3)

Computed properties:
theoretical density = 14.893 g cm⁻³

***

Q.
Material: TaW2Br
Method: DFT, PBE
State: optimized geometry

Lattice parameters (Å, degrees): 3.150 4.653 9.356 90.00 90.00 90.00
Space group Imm2 (No. 44)
Inequivalent atoms, fractional coordinates:
Ta 0.000 0.000 0.000 (multiplicity 2)
W 0.000 0.000 0.498 (multiplicity 2)
W 0.000 0.500 0.760 (multiplicity 2)
Br 0.000 0.500 0.244 (multiplicity 2)

Computed properties:
theoretical density = 15.221 g cm⁻³

***

R.
Material: TaW2Br
Method: DFT, PBE
State: optimized geometry

Lattice parameters (Å, degrees): 3.842 3.842 4.733 90.00 90.00 90.00
Space group P4/mmm (No. 123)
Inequivalent atoms, fractional coordinates:
Ta 0.000 0.000 0.000 (multiplicity 1)
W 0.000 0.500 0.500 (multiplicity 2)
Br 0.500 0.500 0.000 (multiplicity 1)

Computed properties:
theoretical density = 14.940 g cm⁻³

***

S.
Material: TaW2Br
Method: DFT, PBE
State: optimized geometry

Lattice parameters (Å, degrees): 5.355 8.634 3.029 90.00 90.00 90.00
Space group Cmmm (No. 65)
Inequivalent atoms, fractional coordinates:
Ta 0.000 0.000 0.000 (multiplicity 2)
W 0.250 0.250 0.500 (multiplicity 4)
Br 0.000 0.500 0.000 (multiplicity 2)

Computed properties:
theoretical density = 14.905 g cm⁻³

***

Quick one: most stable of them? P

***

P.
Material: Ta3WBr
Method: DFT, PBE
State: optimized geometry

Lattice parameters (Å, degrees): 4.952 4.952 4.952 90.00 90.00 90.00
Space group Pm-3m (No. 221)
Inequivalent atoms, fractional coordinates:
Ta 0.000 0.000 0.500 (multiplicity 3)
W 0.000 0.000 0.000 (multiplicity 1)
Br 0.500 0.500 0.500 (multiplicity 1)

Computed properties:
theoretical density = 11.029 g cm⁻³

***

Q.
Material: Ta3WBr
Method: DFT, PBE
State: optimized geometry

Lattice parameters (Å, degrees): 4.649 4.649 4.649 90.00 90.00 90.00
Space group Pm-3m (No. 221)
Inequivalent atoms, fractional coordinates:
Ta 0.000 0.000 0.500 (multiplicity 3)
W 0.500 0.500 0.500 (multiplicity 1)
Br 0.000 0.000 0.000 (multiplicity 1)

Computed properties:
theoretical density = 13.327 g cm⁻³

***

Quick one: most stable of them? P